A plane-wave DFT calculation with PBE was carried out for LiMgScTl after structural relaxation.

a b c (Å): 6.982 6.982 6.982
angles (deg): 90.00 90.00 90.00
Space group F-43m (No. 216)
Symmetry-distinct sites (fractional):
1 Li 0.000 0.000 0.000 (multiplicity 4)
2 Mg 0.250 0.250 0.250 (multiplicity 4)
3 Sc 0.000 0.000 0.500 (multiplicity 4)
4 Tl 0.250 0.250 0.750 (multiplicity 4)

The value obtained for the formation energy is -0.171 eV per atom. As for the energy above the lowest structure with this stoichiometry: 0 meV/atom.